Ba2ZnNiI | PBE | relaxed

Calculated total energy   -3.02 eV/atom
Magnetic moment   0.0000 μB/atom
SG   P4/mmm (123)

Cell and atoms, written as POSCAR:
```
Ba2ZnNiI
1.0
6.0349 0.0000 0.0000
0.0000 6.0349 0.0000
0.0000 0.0000 4.7011
I Ni Zn Ba
1 1 1 2
Cartesian
3.0174 3.0174 2.3506
0.0000 0.0000 0.0000
0.0000 0.0000 2.3506
0.0000 3.0174 0.0000
3.0174 0.0000 0.0000
```